(1)
A plane-wave DFT calculation with PBE was carried out for a geometry-optimized Hf2TlCo structure.

## Properties
The total energy comes out at -27.9 eV per cell.

a b c (Å): 4.7530 4.7530 4.7530
angles (deg): 60.00 60.00 60.00
Fractional coordinates of all 4 atoms:
Co (0.2500, 0.2500, 0.2500)
Tl (0.5000, 0.5000, 0.5000)
Hf (0.7500, 0.7500, 0.7500)
Hf (0.0000, 0.0000, 0.0000)

=====

(2)
A plane-wave DFT calculation with PBE was carried out for a geometry-optimized CsCu3C4N4 structure.

## Properties
The total energy comes out at -323.1 eV per cell.

a b c (Å): 6.6774 10.0636 13.0319
angles (deg): 90.00 98.54 90.00
Fractional coordinates of all 48 atoms:
Cu (0.0842, 0.3664, 0.1875)
Cu (0.8898, 0.9932, 0.6146)
Cu (0.1102, 0.0068, 0.3854)
Cu (0.1538, 0.3773, 0.5684)
Cu (0.3898, 0.5068, 0.1146)
Cu (0.9158, 0.6336, 0.8125)
Cu (0.8462, 0.6227, 0.4316)
Cu (0.4158, 0.8664, 0.3125)
Cu (0.5842, 0.1336, 0.6875)
Cu (0.3462, 0.8773, 0.9316)
Cu (0.6102, 0.4932, 0.8854)
Cu (0.6538, 0.1227, 0.0684)
C (0.8493, 0.0811, 0.1823)
C (0.1217, 0.3900, 0.4235)
C (0.1507, 0.9189, 0.8177)
C (0.7512, 0.4447, 0.0117)
C (0.2488, 0.5553, 0.9883)
C (0.1889, 0.7935, 0.3612)
C (0.7488, 0.9447, 0.4883)
C (0.6217, 0.1100, 0.9235)
C (0.8111, 0.2065, 0.6388)
C (0.3111, 0.2935, 0.1388)
C (0.6507, 0.5811, 0.3177)
C (0.8783, 0.6100, 0.5765)
C (0.3783, 0.8900, 0.0765)
C (0.6889, 0.7065, 0.8612)
C (0.2512, 0.0553, 0.5117)
C (0.3493, 0.4189, 0.6823)
N (0.5931, 0.1149, 0.8320)
N (0.0662, 0.7210, 0.3870)
N (0.9069, 0.6149, 0.6680)
N (0.5662, 0.7790, 0.8870)
N (0.4069, 0.8851, 0.1680)
N (0.9541, 0.0533, 0.2603)
N (0.1389, 0.5850, 0.9123)
N (0.4541, 0.4467, 0.7603)
N (0.6389, 0.9150, 0.4123)
N (0.9338, 0.2790, 0.6130)
N (0.4338, 0.2210, 0.1130)
N (0.8611, 0.4150, 0.0877)
N (0.0931, 0.3851, 0.3320)
N (0.0459, 0.9467, 0.7397)
N (0.3611, 0.0850, 0.5877)
N (0.5459, 0.5533, 0.2397)
Cs (0.1046, 0.2418, 0.8809)
Cs (0.6046, 0.2582, 0.3809)
Cs (0.8954, 0.7582, 0.1191)
Cs (0.3954, 0.7418, 0.6191)

=====

(3)
A plane-wave DFT calculation with PBE was carried out for a geometry-optimized Er2TmIn3Pd3 structure.

## Properties
The total energy comes out at -44.7 eV per cell.

a b c (Å): 3.7802 7.6804 7.6804
angles (deg): 119.96 90.00 90.00
Fractional coordinates of all 9 atoms:
In (0.5000, 0.9997, 0.7378)
In (0.5000, 0.7378, 0.9997)
In (0.5000, 0.2623, 0.2623)
Er (0.0000, 0.4074, 0.0000)
Er (0.0000, 0.0000, 0.4074)
Pd (0.5000, 0.3340, 0.6664)
Pd (0.0000, 0.9997, 0.9997)
Pd (0.5000, 0.6664, 0.3340)
Tm (0.0000, 0.5928, 0.5928)

=====

(4)
A plane-wave DFT calculation with PBE was carried out for a geometry-optimized Pr3Zn2Ge4Ir2 structure.

## Properties
The total energy comes out at -60.9 eV per cell.

a b c (Å): 13.0263 13.0263 13.0263
angles (deg): 161.40 161.32 26.48
Fractional coordinates of all 11 atoms:
Zn (0.4034, 0.9034, 0.5000)
Zn (0.5966, 0.0966, 0.5000)
Ge (0.6958, 0.1958, 0.5000)
Ge (0.0496, 0.0496, 0.0000)
Ge (0.9504, 0.9504, 0.0000)
Ge (0.3042, 0.8042, 0.5000)
Pr (0.1501, 0.6501, 0.5000)
Pr (0.5000, 0.5000, 0.0000)
Pr (0.8499, 0.3499, 0.5000)
Ir (0.2497, 0.2497, 0.0000)
Ir (0.7503, 0.7503, 0.0000)

=====

(5)
A plane-wave DFT calculation with PBE was carried out for a geometry-optimized HoCuSnTeS2 structure.

## Properties
The total energy comes out at -58.2 eV per cell.

a b c (Å): 7.0925 7.0925 10.9108
angles (deg): 90.00 90.00 147.36
Fractional coordinates of all 12 atoms:
Sn (0.7045, 0.2955, 0.2500)
Sn (0.2955, 0.7045, 0.7500)
Ho (0.5000, 0.5000, 0.5000)
Ho (0.5000, 0.5000, 0.0000)
Cu (0.0244, 0.9756, 0.2500)
Cu (0.9756, 0.0244, 0.7500)
S (0.8757, 0.1243, 0.9242)
S (0.1243, 0.8757, 0.4242)
S (0.8757, 0.1243, 0.5758)
S (0.1243, 0.8757, 0.0758)
Te (0.6051, 0.3949, 0.7500)
Te (0.3949, 0.6051, 0.2500)

=====

(6)
A plane-wave DFT calculation with PBE was carried out for a geometry-optimized FeC8 structure.

## Properties
The total energy comes out at -158.6 eV per cell. For the energy above the most stable polymorph in this dataset, the calculation gives 0.000 eV per atom.

a b c (Å): 8.0560 7.2401 4.9946
angles (deg): 80.08 62.28 37.64
Site moments in Bohr magnetons follow the coordinates.
Fractional coordinates of all 18 atoms:
C (0.7934, 0.4603, 0.5399)  -0.02
C (0.2918, 0.9560, 0.0417)  -0.01
C (0.0417, 0.7106, 0.2918)  -0.01
C (0.2083, 0.5394, 0.9582)  -0.01
C (0.4603, 0.7934, 0.2063)  -0.01
C (0.5394, 0.2083, 0.2940)  -0.01
C (0.9560, 0.2918, 0.7106)  -0.01
C (0.5399, 0.2063, 0.7934)  -0.01
C (0.7101, 0.0437, 0.4566)  -0.01
C (0.7106, 0.0417, 0.9560)  -0.01
C (0.2063, 0.5399, 0.4603)  -0.01
C (0.7897, 0.4566, 0.0437)  -0.01
C (0.9582, 0.2940, 0.2083)  -0.01
C (0.0437, 0.7101, 0.7897)  -0.01
C (0.4566, 0.7897, 0.7101)  -0.02
C (0.2940, 0.9582, 0.5394)  -0.01
Fe (0.0000, 0.0000, 0.0000)  1.27
Fe (0.2500, 0.2500, 0.2500)  1.28

=====

(7)
A plane-wave DFT calculation with PBE was carried out for a geometry-optimized Tb2Dy structure.

## Properties
The total energy comes out at -26.1 eV per cell. The energy of formation comes out at 266 meV/atom. For the energy above the most stable polymorph in this dataset, the calculation gives 0.000 eV per atom.

a b c (Å): 6.5422 6.5422 6.5422
angles (deg): 60.00 60.00 60.00
Fractional coordinates of all 6 atoms:
Tb (0.1250, 0.6250, 0.6250)
Tb (0.6250, 0.6250, 0.1250)
Tb (0.6250, 0.6250, 0.6250)
Tb (0.6250, 0.1250, 0.6250)
Dy (0.2500, 0.2500, 0.2500)
Dy (0.0000, 0.0000, 0.0000)

=====

(8)
A plane-wave DFT calculation with PBE was carried out for a geometry-optimized PuIrPb structure.

## Properties
The total energy comes out at -27.4 eV per cell.

a b c (Å): 4.7450 4.7450 4.7450
angles (deg): 60.00 60.00 60.00
Fractional coordinates of all 3 atoms:
Pb (0.7500, 0.7500, 0.7500)
Ir (0.0000, 0.0000, 0.0000)
Pu (0.2500, 0.2500, 0.2500)

=====

(9)
A plane-wave DFT calculation with PBE was carried out for a geometry-optimized ErZrAg2O4 structure.

## Properties
The total energy comes out at -55.1 eV per cell.

a b c (Å): 3.3665 3.3665 12.7986
angles (deg): 90.00 90.00 120.00
Site moments in Bohr magnetons follow the coordinates.
Fractional coordinates of all 8 atoms:
Zr (0.0000, 0.0000, 0.0000)  0.38
O (0.3333, 0.6667, 0.0781)  0.00
O (0.3333, 0.6667, 0.4152)  0.02
O (0.6667, 0.3333, 0.5848)  0.02
O (0.6667, 0.3333, 0.9219)  0.00
Ag (0.6667, 0.3333, 0.7498)  0.04
Ag (0.3333, 0.6667, 0.2502)  0.04
Er (0.0000, 0.0000, 0.5000)  0.01

=====

(10)
A plane-wave DFT calculation with PBE was carried out for a geometry-optimized NdGe2Pd structure.

## Properties
The total energy comes out at -44.7 eV per cell.

a b c (Å): 4.4293 8.9409 8.9409
angles (deg): 28.16 90.00 90.00
Fractional coordinates of all 8 atoms:
Nd (0.5000, 0.3928, 0.3928)
Nd (0.0000, 0.6073, 0.6073)
Ge (0.0000, 0.2489, 0.2489)
Ge (0.5000, 0.7510, 0.7510)
Ge (0.5000, 0.0357, 0.0357)
Ge (0.0000, 0.9644, 0.9644)
Pd (0.0000, 0.8231, 0.8231)
Pd (0.5000, 0.1769, 0.1769)

=====

(11)
A plane-wave DFT calculation with PBE was carried out for a geometry-optimized Nb4TlC3 structure.

## Properties
The total energy comes out at -147.5 eV per cell.

a b c (Å): 3.1895 3.1895 25.1557
angles (deg): 90.00 90.00 120.00
Fractional coordinates of all 16 atoms:
C (0.6667, 0.3333, 0.3952)
C (0.0000, 0.0000, 0.0000)
C (0.3333, 0.6667, 0.8952)
C (0.0000, 0.0000, 0.5000)
C (0.6667, 0.3333, 0.1048)
C (0.3333, 0.6667, 0.6048)
Nb (0.6667, 0.3333, 0.5533)
Nb (0.3333, 0.6667, 0.4467)
Nb (0.6667, 0.3333, 0.9467)
Nb (0.0000, 0.0000, 0.1509)
Nb (0.0000, 0.0000, 0.6509)
Nb (0.0000, 0.0000, 0.3491)
Nb (0.3333, 0.6667, 0.0533)
Nb (0.0000, 0.0000, 0.8491)
Tl (0.3333, 0.6667, 0.2500)
Tl (0.6667, 0.3333, 0.7500)

=====

(12)
A plane-wave DFT calculation with PBE was carried out for a geometry-optimized NaSmZnTe3 structure.

## Properties
The total energy comes out at -45.4 eV per cell. For the energy above the most stable polymorph in this dataset, the calculation gives 0.000 eV per atom.

a b c (Å): 7.7007 7.7007 11.7853
angles (deg): 90.00 90.00 32.78
Fractional coordinates of all 12 atoms:
Te (0.3585, 0.3585, 0.4288)
Te (0.6415, 0.6415, 0.5712)
Te (0.6415, 0.6415, 0.9288)
Te (0.9168, 0.9168, 0.7500)
Te (0.0832, 0.0832, 0.2500)
Te (0.3585, 0.3585, 0.0712)
Zn (0.5309, 0.5309, 0.7500)
Zn (0.4691, 0.4691, 0.2500)
Sm (0.0000, 0.0000, 0.5000)
Sm (0.0000, 0.0000, 0.0000)
Na (0.2368, 0.2368, 0.7500)
Na (0.7632, 0.7632, 0.2500)

=====

(13)
A plane-wave DFT calculation with PBE was carried out for a geometry-optimized YErGe4 structure.

## Properties
The total energy comes out at -33.2 eV per cell.

a b c (Å): 3.9165 8.3012 8.3012
angles (deg): 28.17 90.00 90.00
Fractional coordinates of all 6 atoms:
Er (0.0000, 0.3968, 0.3968)
Ge (0.5000, 0.9460, 0.9460)
Ge (0.5000, 0.2493, 0.2493)
Ge (0.0000, 0.0502, 0.0502)
Ge (0.0000, 0.7536, 0.7536)
Y (0.5000, 0.6040, 0.6040)

=====

(14)
A plane-wave DFT calculation with PBE was carried out for a geometry-optimized HfTcB structure.

## Properties
The total energy comes out at -24.7 eV per cell. For the energy above the most stable polymorph in this dataset, the calculation gives 0.000 eV per atom.

a b c (Å): 4.1083 4.1083 4.1083
angles (deg): 60.00 60.00 60.00
Fractional coordinates of all 3 atoms:
Tc (0.0000, 0.0000, 0.0000)
Hf (0.7500, 0.7500, 0.7500)
B (0.2500, 0.2500, 0.2500)

=====

(15)
A plane-wave DFT calculation with PBE was carried out for a geometry-optimized LuCdNO structure.

## Properties
The total energy comes out at -49.0 eV per cell. For the energy above the most stable polymorph in this dataset, the calculation gives 0.046 eV per atom.

a b c (Å): 3.6296 5.8465 6.2168
angles (deg): 90.00 90.00 90.00
Fractional coordinates of all 8 atoms:
Lu (0.5000, 0.0009, 0.1690)
Lu (0.5000, 0.5009, 0.8310)
N (0.0000, 0.3817, 0.6829)
N (0.0000, 0.8817, 0.3171)
O (0.5000, 0.3642, 0.1464)
O (0.5000, 0.8642, 0.8536)
Cd (0.0000, 0.0072, 0.6512)
Cd (0.0000, 0.5072, 0.3488)

=====

(16)
A plane-wave DFT calculation with PBE was carried out for a geometry-optimized TlCdPd structure.

## Properties
The total energy comes out at -8.0 eV per cell.

a b c (Å): 4.6463 4.6463 4.6463
angles (deg): 60.00 60.00 60.00
Fractional coordinates of all 3 atoms:
Cd (0.2500, 0.2500, 0.2500)
Tl (0.0000, 0.0000, 0.0000)
Pd (0.7500, 0.7500, 0.7500)

=====

(17)
A plane-wave DFT calculation with PBE was carried out for a geometry-optimized AgICl structure.

## Properties
The total energy comes out at -13.8 eV per cell. For the energy above the most stable polymorph in this dataset, the calculation gives 0.022 eV per atom.

a b c (Å): 7.4682 3.8542 7.8073
angles (deg): 90.00 118.11 90.00
Fractional coordinates of all 6 atoms:
I (0.2405, 0.0000, 0.5104)
I (0.7595, 0.0000, 0.4896)
Ag (0.5000, 0.5000, 0.5000)
Ag (0.0000, 0.0000, 0.0000)
Cl (0.7717, 0.5000, 0.9818)
Cl (0.2283, 0.5000, 0.0182)

=====

(18)
A plane-wave DFT calculation with PBE was carried out for a geometry-optimized KLuCoTe3 structure.

## Properties
The total energy comes out at -54.0 eV per cell. For the energy above the most stable polymorph in this dataset, the calculation gives 0.024 eV per atom.

a b c (Å): 8.2554 8.2554 11.2501
angles (deg): 90.00 90.00 150.52
Site moments in Bohr magnetons follow the coordinates.
Fractional coordinates of all 12 atoms:
Lu (0.5000, 0.5000, 0.0000)  0.04
Lu (0.5000, 0.5000, 0.5000)  0.04
K (0.7529, 0.2471, 0.2500)  0.01
K (0.2471, 0.7529, 0.7500)  0.01
Co (0.9682, 0.0318, 0.7500)  1.92
Co (0.0318, 0.9682, 0.2500)  1.92
Te (0.4335, 0.5665, 0.2500)  0.10
Te (0.8731, 0.1269, 0.5648)  0.08
Te (0.5665, 0.4335, 0.7500)  0.10
Te (0.8731, 0.1269, 0.9352)  0.08
Te (0.1269, 0.8731, 0.0648)  0.08
Te (0.1269, 0.8731, 0.4352)  0.08

=====

(19)
A plane-wave DFT calculation with PBE was carried out for a geometry-optimized TaCoSn structure.

## Properties
The total energy comes out at -46.6 eV per cell.

a b c (Å): 4.2421 4.2421 6.5647
angles (deg): 90.00 90.00 120.00
Fractional coordinates of all 6 atoms:
Ta (0.0000, 0.0000, 0.2083)
Ta (0.0000, 0.0000, 0.7083)
Sn (0.6667, 0.3333, 0.9634)
Sn (0.3333, 0.6667, 0.4634)
Co (0.6667, 0.3333, 0.5783)
Co (0.3333, 0.6667, 0.0783)

=====

(20)
A plane-wave DFT calculation with PBE was carried out for a geometry-optimized Ho5Te3Pt structure.

## Properties
The total energy comes out at -43.9 eV per cell. For the energy above the most stable polymorph in this dataset, the calculation gives 0.171 eV per atom.

a b c (Å): 8.3292 8.3292 4.0985
angles (deg): 90.00 90.00 120.00
Fractional coordinates of all 9 atoms:
Ho (0.6691, 0.0000, 0.0000)
Ho (0.0000, 0.6691, 0.0000)
Ho (0.6667, 0.3333, 0.5000)
Ho (0.3333, 0.6667, 0.5000)
Ho (0.3309, 0.3309, 0.0000)
Te (0.0000, 0.2796, 0.5000)
Te (0.7204, 0.7204, 0.5000)
Te (0.2796, 0.0000, 0.5000)
Pt (0.0000, 0.0000, 0.0000)